Entry 1:
A geometry-optimized Dy4Tl5Zn2 structure. Source: Alexandria, functional GGA-PBE.

Unit cell a=8.1118 b=3.6549 c=9.5753 alpha=90.00 beta=91.40 gamma=90.00
Space group P2/m (No. 10)
Inequivalent atoms, fractional coordinates:
Dy 0.2078 0.0000 0.3563 (multiplicity 2)
Dy 0.2334 0.0000 0.9061 (multiplicity 2)
Tl 0.1327 0.5000 0.6341 (multiplicity 2)
Tl 0.4415 0.5000 0.1574 (multiplicity 2)
Tl 0.5000 0.5000 0.5000 (multiplicity 1)
Zn 0.0747 0.5000 0.1210 (multiplicity 2)

Computed properties:
crystal system: monoclinic
M_tot: 0.0 μB per formula unit
energy of formation from the pure elements: -0.279 eV per atom

---

Entry 2:
A geometry-optimized Dy4TlZn2 structure. Source: Alexandria, functional GGA-PBE.

Unit cell a=5.0846 b=5.0846 c=24.5482 alpha=90.00 beta=90.00 gamma=120.00
Space group R-3m (No. 166, hexagonal axes)
Inequivalent atoms, fractional coordinates:
Dy 0.0000 0.0000 0.1138 (multiplicity 6)
Dy 0.0000 0.0000 0.3676 (multiplicity 6)
Tl 0.0000 0.0000 0.5000 (multiplicity 3)
Zn 0.0000 0.0000 0.2474 (multiplicity 6)

Computed properties:
crystal system: trigonal
ΔE to the lowest computed polymorph: 0 meV/atom
M_tot: 0.0 μB per formula unit
energy of formation from the pure elements: -0.179 eV per atom

---

Entry 3:
A geometry-optimized DyTlZn2 structure. Source: Alexandria, functional GGA-PBE.

Unit cell a=4.5587 b=4.5587 c=4.1555 alpha=90.00 beta=90.00 gamma=90.00
Space group P4/mmm (No. 123)
Inequivalent atoms, fractional coordinates:
Dy 0.0000 0.0000 0.0000 (multiplicity 1)
Tl 0.5000 0.5000 0.0000 (multiplicity 1)
Zn 0.0000 0.5000 0.5000 (multiplicity 2)

Computed properties:
crystal system: tetragonal
ΔE to the lowest computed polymorph: 0 meV/atom
M_tot: 0.0 μB per formula unit
energy of formation from the pure elements: -0.205 eV per atom

---

Entry 4:
A geometry-optimized Dy2TlZn2 structure. Source: Alexandria, functional GGA-PBE.

Unit cell a=4.2871 b=5.9811 c=9.0738 alpha=90.00 beta=90.00 gamma=90.00
Space group Immm (No. 71)
Inequivalent atoms, fractional coordinates:
Dy 0.0000 0.0000 0.2118 (multiplicity 4)
Tl 0.0000 0.5000 0.0000 (multiplicity 2)
Zn 0.0000 0.2945 0.5000 (multiplicity 4)

Computed properties:
crystal system: orthorhombic
M_tot: 0.0 μB per formula unit
energy of formation from the pure elements: -0.264 eV per atom

---

What is the formula in the second record?
Dy4TlZn2

---

Look up the M_tot of the second one.
0.0 μB per formula unit

---

Which value of energy of formation from the pure elements does entry 2 give?
-0.179 eV per atom